Entry from Alexandria via LeMat-Bulk: a relaxed TbSc4Ir5 crystal (GGA-PBE).

Lattice parameters (Å, degrees): 3.191 3.191 17.169 90.00 90.00 90.00
Space group P4/mmm (No. 123)
Inequivalent atoms, fractional coordinates:
Tb: 0.000 0.000 0.000
Sc: 0.000 0.000 0.208
Sc: 0.000 0.000 0.403
Ir: 0.500 0.500 0.114
Ir: 0.500 0.500 0.307
Ir: 0.500 0.500 0.500

Density   12.35 g cm⁻³
Calculated formation energy   -0.9563 eV/atom
DOS at the Fermi energy   0.18 states/eV per atom
Electronic total energy   -83.82 eV for the cell shown